Record 1
GaGeP2S: single point on PBEsol structure, SCAN.

Unit cell a=4.6702 b=4.6702 c=4.6941 alpha=90.00 beta=90.00 gamma=90.00
With the nearest neighbours (Å) after each atom.
Space group P4/mmm (No. 123)
Symmetry-distinct sites (fractional):
Ga 0.0000 0.0000 0.0000 x1  4 S 3.30, 8 P 3.31
Ge 0.5000 0.5000 0.5000 x1  4 P 2.34, 2 S 2.35
P 0.0000 0.5000 0.5000 x2  2 Ge 2.34
S 0.5000 0.5000 0.0000 x1  2 Ge 2.35

D(E_F)	3.13	states/eV/f.u.
V	102	Å³ per cell
total magnetic moment	0.66	μB/f.u.
energy relative to the elements, uncorrected	0.82	eV/atom
total energy	-61.8	eV/cell

Record 2
Ga4GePb4S12: single point on PBEsol structure, SCAN.

Unit cell a=12.6474 b=12.6474 c=6.0102 alpha=90.00 beta=90.00 gamma=90.00
With the nearest neighbours (Å) after each atom.
Space group P-42_1c (No. 114)
Symmetry-distinct sites (fractional):
Ga 0.1476 0.2347 0.4538 x8  4 S 2.26-2.28
Ge 0.0000 0.0000 0.5000 x2  4 S 2.23
Pb 0.0094 0.6832 0.9202 x8  5 S 2.84-3.15
S 0.0168 0.3591 0.4530 x8  1 Ga 2.28
S 0.0911 0.9031 0.7427 x8  1 Ge 2.23, 1 Ga 2.26
S 0.1880 0.2028 0.8165 x8  2 Ga 2.28

D(E_F)	0.00	states/eV/f.u.
V	961	Å³ per cell
total magnetic moment	0.00	μB/f.u.
energy relative to the elements, uncorrected	-0.66	eV/atom
total energy	-1034.2	eV/cell

Record 3
GaGePd3: single point on PBEsol structure, SCAN.

Unit cell a=4.5530 b=4.5530 c=4.5530 alpha=90.00 beta=90.00 gamma=90.00
With the nearest neighbours (Å) after each atom.
Space group Pm-3m (No. 221)
Symmetry-distinct sites (fractional):
Ga 0.0000 0.0000 0.0000 x1  6 Pd 2.28
Ge 0.5000 0.5000 0.5000 x1  12 Pd 3.22
Pd 0.0000 0.0000 0.5000 x3  2 Ga 2.28

D(E_F)	2.35	states/eV/f.u.
V	94	Å³ per cell
total magnetic moment	0.00	μB/f.u.
total energy	-132.1	eV/cell

Record 4
GaGeSbPd2: single point on PBEsol structure, SCAN.

Unit cell a=4.9190 b=4.9190 c=5.2252 alpha=90.00 beta=90.00 gamma=90.00
With the nearest neighbours (Å) after each atom.
Space group P4/mmm (No. 123)
Symmetry-distinct sites (fractional):
Ga 0.0000 0.0000 0.0000 x1  4 Ge 3.48, 8 Pd 3.59
Ge 0.5000 0.5000 0.0000 x1  2 Sb 2.61
Sb 0.5000 0.5000 0.5000 x1  4 Pd 2.46, 2 Ge 2.61
Pd 0.0000 0.5000 0.5000 x2  2 Sb 2.46

D(E_F)	1.98	states/eV/f.u.
V	126	Å³ per cell
total magnetic moment	0.00	μB/f.u.
energy relative to the elements, uncorrected	0.57	eV/atom
total energy	-135.4	eV/cell

Record 5
Ga3GePt8: single point on PBEsol structure, SCAN.

Unit cell a=5.5171 b=4.0575 c=7.9124 alpha=90.00 beta=90.45 gamma=90.00
With the nearest neighbours (Å) after each atom.
Space group Pm (No. 6)
Symmetry-distinct sites (fractional):
Ga 0.0000 0.0000 0.0000 x1  7 Pt 2.53-2.62
Ga 0.0948 0.5000 0.5079 x1  7 Pt 2.54-2.59
Ga 0.4912 0.0000 0.7181 x1  7 Pt 2.54-2.60
Ge 0.5962 0.5000 0.2173 x1  7 Pt 2.49-2.59
Pt 0.1463 0.5000 0.1834 x1  1 Ge 2.49, 3 Ga 2.59-2.62
Pt 0.2453 0.5000 0.8177 x1  5 Ga 2.57-2.84, 4 Pt 2.83-2.85
Pt 0.3349 0.0000 0.4111 x1  3 Ga 2.54-2.57, 3 Pt 2.81-2.85
Pt 0.4545 0.0000 0.0425 x1  2 Ga 2.53-2.58, 2 Ge 2.57, 2 Pt 2.80
Pt 0.6363 0.5000 0.5389 x1  3 Ga 2.54-2.60, 1 Ge 2.55, 2 Pt 2.81
Pt 0.7461 0.5000 0.9080 x1  2 Ga 2.57, 1 Ge 2.59, 4 Pt 2.80-2.85
Pt 0.8391 0.0000 0.3078 x1  2 Ge 2.53, 1 Ga 2.60, 2 Pt 2.83
Pt 0.9471 0.0000 0.6796 x1  4 Ga 2.54-2.58, 2 Pt 2.83

D(E_F)	4.19	states/eV/f.u.
V	177	Å³ per cell
total magnetic moment	0.00	μB/f.u.
total energy	-635.8	eV/cell

Record 6
GaSi2GeRh: single point on PBEsol structure, SCAN.

Unit cell a=4.5732 b=4.5732 c=4.7666 alpha=90.00 beta=90.00 gamma=90.00
With the nearest neighbours (Å) after each atom.
Space group P4/mmm (No. 123)
Symmetry-distinct sites (fractional):
Ga 0.0000 0.0000 0.0000 x1  4 Ge 3.23, 8 Si 3.30
Si 0.0000 0.5000 0.5000 x2  2 Rh 2.29
Ge 0.5000 0.5000 0.0000 x1  2 Rh 2.38
Rh 0.5000 0.5000 0.5000 x1  4 Si 2.29, 2 Ge 2.38

D(E_F)	2.12	states/eV/f.u.
V	100	Å³ per cell
total magnetic moment	0.00	μB/f.u.
energy relative to the elements, uncorrected	0.41	eV/atom
total energy	-87.2	eV/cell

Question: The highest total energy belongs to which entry?
Answer: GaGeP2S

Question: What is the formula in the fifth record?
Answer: Ga3GePt8